{"formula": "Cs2Rb5TlHg2", "functional": "PBE", "state": "relaxed", "energy_ev_per_atom": -1.038, "dos_ef_per_ev_cell": 10.37, "space_group": "P4/mbm (127)", "lattice_angstrom": [[15.3624, 0.0000, 0.0000], [0.0000, 15.3624, 0.0000], [0.0000, 0.0000, 5.2112]], "species": ["Cs", "Cs", "Cs", "Cs", "Rb", "Rb", "Rb", "Rb", "Rb", "Rb", "Rb", "Rb", "Rb", "Rb", "Tl", "Tl", "Hg", "Hg", "Hg", "Hg"], "frac_coords": [[0.1772, 0.3228, 0.0000], [0.3228, 0.8228, 0.0000], [0.6772, 0.1772, 0.0000], [0.8228, 0.6772, 0.0000], [0.0000, 0.5000, 0.5000], [0.0625, 0.8045, 0.5000], [0.1955, 0.0625, 0.5000], [0.3045, 0.5625, 0.5000], [0.4375, 0.3045, 0.5000], [0.5000, 0.0000, 0.5000], [0.5625, 0.6955, 0.5000], [0.6955, 0.4375, 0.5000], [0.8045, 0.9375, 0.5000], [0.9375, 0.1955, 0.5000], [0.0000, 0.0000, 0.0000], [0.5000, 0.5000, 0.0000], [0.1315, 0.6315, 0.0000], [0.3685, 0.1315, 0.0000], [0.6315, 0.8685, 0.0000], [0.8685, 0.3685, 0.0000]]}